1.
Here is a relaxed Mg3InHg crystal from the Alexandria database. Energies are from GGA-PBEsol. Values from VASP.

energy of formation from the pure elements: 0.25 eV per atom
DFT total energy: -1.4948 eV per atom
SG: Pm-3m, No. 221

```
&SYSTEM
  ibrav = 0, nat = 5, ntyp = 3
/
ATOMIC_SPECIES
Mg 24.30 Mg.upf
In 114.82 In.upf
Hg 200.59 Hg.upf
CELL_PARAMETERS angstrom
5.295 0.000 0.000
0.000 5.295 0.000
0.000 0.000 5.295
ATOMIC_POSITIONS crystal
Mg 0.000 0.000 0.500
Mg 0.000 0.500 0.000
Mg 0.500 0.000 0.000
In 0.000 0.000 0.000
Hg 0.500 0.500 0.500
```

2.
Here is a relaxed YTlIn2 crystal from the Alexandria database. Energies are from GGA-PBEsol. Values from VASP.

energy of formation from the pure elements: -0.42 eV per atom
DFT total energy: -4.2752 eV per atom
SG: P4/mmm, No. 123

```
&SYSTEM
  ibrav = 0, nat = 4, ntyp = 3
/
ATOMIC_SPECIES
Y 88.91 Y.upf
Tl 204.38 Tl.upf
In 114.82 In.upf
CELL_PARAMETERS angstrom
4.582 0.000 0.000
0.000 4.582 0.000
0.000 0.000 4.613
ATOMIC_POSITIONS crystal
Y 0.000 0.000 0.000
Tl 0.500 0.500 0.000
In 0.000 0.500 0.500
In 0.500 0.000 0.500
```

Q: Among the records above, which one has the lowest energy of formation from the pure elements?
A: YTlIn2